1.
The following is a DFT calculation (PBE) of Al5VCo4 after structural relaxation. Values from VASP.

```
&SYSTEM
  ibrav = 0, nat = 10, ntyp = 3
/
ATOMIC_SPECIES
Al 26.98 Al.upf
V 50.94 V.upf
Co 58.93 Co.upf
CELL_PARAMETERS angstrom
2.824 0.000 0.000
0.000 2.824 0.000
0.000 0.000 15.239
ATOMIC_POSITIONS angstrom
Al 0.000 0.000 0.000
Al 0.000 0.000 2.892
Al 0.000 0.000 5.773
Al 0.000 0.000 9.466
Al 0.000 0.000 12.347
V 1.412 1.412 7.620
Co 1.412 1.412 1.439
Co 1.412 1.412 4.328
Co 1.412 1.412 10.911
Co 1.412 1.412 13.800
```

final energy = -6.147 eV/atom
space group = No. 123
DOS(E_F) = 4.7 states/eV per cell

***

2.
The following is a DFT calculation (PBE) of Sr2GaOs after structural relaxation. Values from VASP.

```
&SYSTEM
  ibrav = 0, nat = 16, ntyp = 3
/
ATOMIC_SPECIES
Sr 87.62 Sr.upf
Ga 69.72 Ga.upf
Os 190.23 Os.upf
CELL_PARAMETERS angstrom
11.125 0.000 0.000
0.000 11.125 0.000
0.000 0.000 4.843
ATOMIC_POSITIONS angstrom
Sr 0.791 8.344 0.605
Sr 2.781 0.791 4.237
Sr 2.781 4.771 1.816
Sr 4.771 8.344 3.027
Sr 6.353 2.781 3.027
Sr 8.344 6.353 1.816
Sr 8.344 10.334 4.237
Sr 10.334 2.781 0.605
Ga 0.000 0.000 2.421
Ga 0.000 5.562 3.632
Ga 5.562 0.000 1.211
Ga 5.562 5.562 0.000
Os 0.000 0.000 0.000
Os 0.000 5.562 1.211
Os 5.562 0.000 3.632
Os 5.562 5.562 2.421
```

final energy = -4.156 eV/atom
space group = No. 122
DOS(E_F) = 15.4 states/eV per cell

***

3.
The following is a DFT calculation (PBE) of Ho2PaIn9 after structural relaxation. Values from VASP.

```
&SYSTEM
  ibrav = 0, nat = 12, ntyp = 3
/
ATOMIC_SPECIES
Ho 164.93 Ho.upf
Pa 231.04 Pa.upf
In 114.82 In.upf
CELL_PARAMETERS angstrom
4.626 0.000 0.000
0.000 4.626 0.000
0.000 0.000 13.905
ATOMIC_POSITIONS angstrom
Ho 0.000 0.000 2.314
Ho 0.000 0.000 11.592
Pa 0.000 0.000 6.953
In 0.000 2.313 0.000
In 0.000 2.313 4.627
In 0.000 2.313 9.278
In 2.313 0.000 0.000
In 2.313 0.000 4.627
In 2.313 0.000 9.278
In 2.313 2.313 2.321
In 2.313 2.313 6.953
In 2.313 2.313 11.585
```

final energy = -3.920 eV/atom
space group = No. 123
DOS(E_F) = 7.8 states/eV per cell

***

4.
The following is a DFT calculation (PBE) of YAlCr after structural relaxation. Values from VASP.

```
&SYSTEM
  ibrav = 0, nat = 3, ntyp = 3
/
ATOMIC_SPECIES
Y 88.91 Y.upf
Al 26.98 Al.upf
Cr 52.00 Cr.upf
CELL_PARAMETERS angstrom
4.657 0.000 0.000
-2.328 4.033 0.000
0.000 0.000 3.405
ATOMIC_POSITIONS angstrom
Y 0.000 0.000 0.000
Al 2.328 1.344 1.702
Cr 0.000 2.689 1.702
```

final energy = -6.588 eV/atom
space group = No. 187
DOS(E_F) = 3.3 states/eV per cell

***

5.
The following is a DFT calculation (PBE) of Cs5TcCl2O4 after structural relaxation. Values from VASP.

```
&SYSTEM
  ibrav = 0, nat = 12, ntyp = 4
/
ATOMIC_SPECIES
Cs 132.91 Cs.upf
Tc 98.00 Tc.upf
Cl 35.45 Cl.upf
O 16.00 O.upf
CELL_PARAMETERS angstrom
9.319 0.000 0.000
0.000 5.518 3.696
0.000 -5.518 3.696
ATOMIC_POSITIONS angstrom
Cs 0.000 0.000 0.000
Cs 2.740 -2.026 3.017
Cs 2.740 2.026 3.017
Cs 6.579 -2.026 3.017
Cs 6.579 2.026 3.017
Tc 4.660 0.000 6.817
Cl 0.000 -2.292 4.958
Cl 0.000 2.292 4.958
O 3.167 0.000 0.532
O 4.660 -1.486 5.678
O 4.660 1.486 5.678
O 6.153 0.000 0.532
```

space group = No. 38
raw formation energy = -1.62 eV per atom

***

6.
The following is a DFT calculation (PBE) of Ba2NiPb after structural relaxation. Values from VASP.

```
&SYSTEM
  ibrav = 0, nat = 8, ntyp = 3
/
ATOMIC_SPECIES
Ba 137.33 Ba.upf
Ni 58.69 Ni.upf
Pb 207.20 Pb.upf
CELL_PARAMETERS angstrom
5.561 0.000 0.000
0.000 5.561 0.000
0.000 0.000 7.857
ATOMIC_POSITIONS angstrom
Ba 0.000 0.000 0.000
Ba 0.000 2.781 1.964
Ba 2.781 0.000 5.893
Ba 2.781 2.781 3.929
Ni 0.000 0.000 3.929
Ni 2.781 2.781 0.000
Pb 0.000 2.781 5.893
Pb 2.781 0.000 1.964
```

final energy = -3.282 eV/atom
space group = No. 119
DOS(E_F) = 1.4 states/eV per cell

***

7.
The following is a DFT calculation (PBE) of Zn2InAs after structural relaxation. Values from VASP.

```
&SYSTEM
  ibrav = 0, nat = 8, ntyp = 3
/
ATOMIC_SPECIES
Zn 65.41 Zn.upf
In 114.82 In.upf
As 74.92 As.upf
CELL_PARAMETERS angstrom
6.944 0.000 0.000
0.000 3.988 0.000
-2.290 0.000 6.126
ATOMIC_POSITIONS angstrom
Zn 1.161 0.000 1.199
Zn 0.022 1.994 4.927
Zn 4.633 1.994 1.199
Zn 3.494 0.000 4.927
In -1.145 0.000 3.063
In 2.327 1.994 3.063
As 0.000 1.994 0.000
As 3.472 0.000 0.000
```

final energy = -2.438 eV/atom
space group = No. 12
DOS(E_F) = 2.5 states/eV per cell

***

8.
The following is a DFT calculation (PBE) of VSi2Mo2 after structural relaxation. Values from VASP.

```
&SYSTEM
  ibrav = 0, nat = 10, ntyp = 3
/
ATOMIC_SPECIES
V 50.94 V.upf
Si 28.09 Si.upf
Mo 95.94 Mo.upf
CELL_PARAMETERS angstrom
6.502 0.000 0.000
0.000 6.502 0.000
0.000 0.000 3.336
ATOMIC_POSITIONS angstrom
V 0.000 0.000 0.000
V 3.251 3.251 0.000
Si 0.871 2.380 0.000
Si 2.380 5.631 0.000
Si 4.122 0.871 0.000
Si 5.631 4.122 0.000
Mo 1.071 4.322 1.668
Mo 2.180 1.071 1.668
Mo 4.322 5.432 1.668
Mo 5.432 2.180 1.668
```

space group = No. 127
DOS(E_F) = 8.5 states/eV per cell
raw formation energy = -0.35 eV per atom

***

9.
The following is a DFT calculation (PBE) of Ti2SiAs after structural relaxation. Values from VASP.

```
&SYSTEM
  ibrav = 0, nat = 16, ntyp = 3
/
ATOMIC_SPECIES
Ti 47.87 Ti.upf
Si 28.09 Si.upf
As 74.92 As.upf
CELL_PARAMETERS angstrom
6.321 0.000 0.000
0.000 6.321 0.000
0.000 0.000 6.321
ATOMIC_POSITIONS angstrom
Ti 1.580 1.580 1.580
Ti 1.580 1.580 4.741
Ti 1.580 4.741 1.580
Ti 1.580 4.741 4.741
Ti 4.741 1.580 1.580
Ti 4.741 1.580 4.741
Ti 4.741 4.741 1.580
Ti 4.741 4.741 4.741
Si 0.000 0.000 0.000
Si 0.000 3.160 3.160
Si 3.160 0.000 3.160
Si 3.160 3.160 0.000
As 0.000 0.000 3.160
As 0.000 3.160 0.000
As 3.160 0.000 0.000
As 3.160 3.160 3.160
```

polymorph energy (0 for the lowest one) = 28.2 kJ/mol of atoms
space group = No. 225
DOS(E_F) = 15.8 states/eV per cell
raw formation energy = -0.36 eV per atom

***

10.
The following is a DFT calculation (PBE) of PIrS2Br after structural relaxation. Values from VASP.

```
&SYSTEM
  ibrav = 0, nat = 5, ntyp = 4
/
ATOMIC_SPECIES
P 30.97 P.upf
Ir 192.22 Ir.upf
S 32.06 S.upf
Br 79.90 Br.upf
CELL_PARAMETERS angstrom
4.628 0.000 0.000
0.000 4.628 0.000
0.000 0.000 4.842
ATOMIC_POSITIONS angstrom
P 0.000 0.000 0.000
Ir 0.000 0.000 2.421
S 0.000 2.314 2.421
S 2.314 0.000 2.421
Br 2.314 2.314 0.000
```

polymorph energy (0 for the lowest one) = 0.0 kJ/mol of atoms
space group = No. 123
DOS(E_F) = 5.2 states/eV per cell
raw formation energy = 0.63 eV per atom

***

11.
The following is a DFT calculation (PBE) of NpCdH after structural relaxation. Values from VASP.

```
&SYSTEM
  ibrav = 0, nat = 12, ntyp = 3
/
ATOMIC_SPECIES
Np 237.00 Np.upf
Cd 112.41 Cd.upf
H 1.01 H.upf
CELL_PARAMETERS angstrom
4.012 0.000 0.000
0.000 5.057 0.000
0.000 0.000 10.442
ATOMIC_POSITIONS angstrom
Np 0.000 1.264 1.016
Np 0.000 3.793 9.426
Np 2.006 1.264 4.205
Np 2.006 3.793 6.237
Cd 0.000 1.264 6.781
Cd 0.000 3.793 3.661
Cd 2.006 1.264 8.882
Cd 2.006 3.793 1.560
H 0.000 1.264 3.232
H 0.000 3.793 7.210
H 2.006 1.264 1.989
H 2.006 3.793 8.453
```

final energy = -5.575 eV/atom
space group = No. 74
DOS(E_F) = 22.4 states/eV per cell

***

Number 1: magnetic moment 0.00 μB/f.u.. Number 2: magnetic moment 0.00 μB/f.u.. Number 3: magnetic moment 0.67 μB/f.u.. Number 4: magnetic moment 3.41 μB/f.u.. Number 5: magnetic moment 2.00 μB/f.u.. Number 6: magnetic moment 0.00 μB/f.u.. Number 7: magnetic moment 0.00 μB/f.u.. Number 8: magnetic moment 0.00 μB/f.u.. Number 9: magnetic moment 0.00 μB/f.u.. Number 10: magnetic moment 0.00 μB/f.u.. Number 11: magnetic moment 4.41 μB/f.u..